A plane-wave DFT calculation with PBE was carried out for a geometry-optimized Ta2VGePd structure.

Geometry as CIF:
```
data_Ta2VGePd
_cell_length_a 4.8785
_cell_length_b 4.8785
_cell_length_c 4.4420
_cell_angle_alpha 90.00
_cell_angle_beta 90.00
_cell_angle_gamma 90.00
_symmetry_space_group_name_H-M 'P 4/m m m'
_symmetry_Int_Tables_number 123
_symmetry_space_group_name_Hall '-P 4 2'
loop_
_atom_site_label
_atom_site_type_symbol
_atom_site_fract_x
_atom_site_fract_y
_atom_site_fract_z
Ta1 Ta 0.0000 0.5000 0.0000
V1 V 0.0000 0.0000 0.5000
Ge1 Ge 0.5000 0.5000 0.5000
Pd1 Pd 0.5000 0.5000 0.0000
```

Output
final energy = -7.13 eV per atom
crystal system = tetragonal
total moment = 0.0 μB/f.u.